! Mn2SiI | Alexandria via LeMat-Bulk | GGA-PBE | optimized geometry; values from VASP
&SYSTEM
  ibrav = 0, nat = 16, ntyp = 3
/
ATOMIC_SPECIES
Mn 54.94 Mn.upf
Si 28.09 Si.upf
I 126.90 I.upf
ATOMIC_POSITIONS crystal
Mn 0.250 0.250 0.250
Mn 0.250 0.250 0.750
Mn 0.250 0.750 0.250
Mn 0.250 0.750 0.750
Mn 0.750 0.250 0.250
Mn 0.750 0.250 0.750
Mn 0.750 0.750 0.250
Mn 0.750 0.750 0.750
Si 0.000 0.000 0.000
Si 0.000 0.500 0.500
Si 0.500 0.000 0.500
Si 0.500 0.500 0.000
I 0.000 0.000 0.500
I 0.000 0.500 0.000
I 0.500 0.000 0.000
I 0.500 0.500 0.500
CELL_PARAMETERS angstrom
6.054 0.000 0.000
0.000 6.054 0.000
0.000 0.000 6.054
! crystal system	cubic
! relative energy among the computed polymorphs	0.591	eV per atom
! total energy	-89.8	eV per cell
! M_tot	0.00	μB per cell
! energy relative to the elements, uncorrected	0.72	eV/atom